Material: RuAuS2O8
Method: DFT, PBE-GGA
State: relaxed

a = 4.9816 Å, b = 4.9816 Å, c = 8.2856 Å
α = 99.48°, β = 99.48°, γ = 63.60°
With the nearest neighbours (Å) after each atom.
Sites, in units of the cell vectors:
O 0.2254 0.2254 0.9370  1 S 1.47
O 0.7680 0.7680 0.3657  1 S 1.48
O 0.8013 0.3404 0.1776  1 S 1.51
O 0.7746 0.7746 0.0630  1 S 1.47
O 0.3404 0.8013 0.1776  1 S 1.51
O 0.1987 0.6596 0.8224  1 S 1.51
O 0.2320 0.2320 0.6343  1 S 1.48
O 0.6596 0.1987 0.8224  1 S 1.51
Au 0.0000 0.0000 0.5000  2 O 2.06
S 0.3211 0.3211 0.8062  4 O 1.47-1.51
S 0.6789 0.6789 0.1938  4 O 1.47-1.51
Ru 0.0000 0.0000 0.0000  6 O 2.05-2.07

## Properties
- space-group type = No. 12
- E_form (uncorrected) (eV per atom) = -0.8888


Material: TeRuAu2O
Method: DFT, PBE-GGA
State: relaxed

a = 5.2053 Å, b = 5.0888 Å, c = 5.2053 Å
α = 90.00°, β = 90.00°, γ = 90.00°
With the nearest neighbours (Å) after each atom.
Sites, in units of the cell vectors:
Ru 0.0000 0.5000 0.0000  2 Te 2.54
Te 0.0000 0.0000 0.0000  2 Ru 2.54, 4 Au 2.60
O 0.5000 0.5000 0.5000  8 Au 3.64, 4 Ru 3.68
Au 0.5000 0.0000 0.0000  2 Te 2.60
Au 0.0000 0.0000 0.5000  2 Te 2.60

## Properties
- space-group type = No. 123
- E_form (uncorrected) (eV per atom) = 1.3653